# DyYPbO2

A relaxed DyYPbO2 crystal (PBE, the Alexandria database).

Summary:
The calculation puts the spin magnetization at 0.00 μB/atom. Its total energy is -7.487 eV per atom. The space group is I4mm (107). The calculation puts the calculated volume at 105.4 Å³ per cell.

a = 3.853 Å, b = 3.853 Å, c = 7.602 Å
α = 104.68°, β = 104.68°, γ = 90.00°
Fractional coordinates of all 5 atoms:
Dy 0.829 0.829 0.658
Y 0.171 0.171 0.341
Pb 0.500 0.500 0.000
O 0.750 0.250 0.501
O 0.250 0.750 0.501

# DyPdO

A relaxed DyPdO crystal (PBE, the Alexandria database).

Summary:
The calculation puts the spin magnetization at 0.00 μB/atom. Its total energy is -7.006 eV per atom. The space group is P4/nmm (129). The calculation puts the calculated volume at 90.1 Å³ per cell.

a = 3.308 Å, b = 3.309 Å, c = 10.559 Å
α = 128.82°, β = 90.02°, γ = 90.00°
Fractional coordinates of all 6 atoms:
O 0.750 0.032 0.391
O 0.250 0.968 0.609
Dy 0.250 0.395 0.322
Dy 0.750 0.605 0.678
Pd 0.250 0.572 0.911
Pd 0.750 0.428 0.089

> Look up the spin magnetization of the first one.

0.00 μB/atom